Record 1
VASP calculation (PBE) on Hg4WCl after structural relaxation.

The structure in extended XYZ format:
```
6
Lattice="0.0000 4.2045 4.2045 4.2045 0.0000 4.2045 4.2045 4.2045 0.0000" Properties=species:S:1:pos:R:3 pbc="T T T"
Hg 1.0512 1.0512 1.0512
Hg 3.1533 3.1533 1.0512
Hg 3.1533 1.0512 3.1533
Hg 1.0512 3.1533 3.1533
W 6.3067 6.3067 6.3067
Cl 4.2045 4.2045 4.2045
```

Output
size of the total moment = 0.718 μB/atom
symmetry = F-43m, No. 216
N(E_F) = 3.25 states/eV/f.u.
energy relative to the elements, uncorrected = 0.913 eV/atom

***

Record 2
VASP calculation (PBE) on SrSc4In after structural relaxation.

The structure in extended XYZ format:
```
6
Lattice="0.0000 4.3711 4.3711 4.3711 0.0000 4.3711 4.3711 4.3711 0.0000" Properties=species:S:1:pos:R:3 pbc="T T T"
Sr 0.0000 0.0000 0.0000
Sc 3.2851 3.2851 3.2851
Sc 5.4572 5.4572 3.2851
Sc 5.4572 3.2851 5.4572
Sc 3.2851 5.4572 5.4572
In 6.5567 6.5567 6.5567
```

Output
size of the total moment = 0.000 μB/atom
symmetry = F-43m, No. 216
energy relative to the elements = 1.0 eV per formula unit
N(E_F) = 6.55 states/eV/f.u.

***

Record 3
VASP calculation (PBE) on Y2CrCu after structural relaxation.

The structure in extended XYZ format:
```
4
Lattice="5.8402 -1.7332 0.0000 5.8402 1.7332 0.0000 -1.9715 0.0000 4.3764" Properties=species:S:1:pos:R:3 pbc="T T T"
Y 0.0000 0.0000 0.0000
Y 1.1314 0.0000 3.1404
Cr 4.1796 0.0000 1.8846
Cu 8.3158 0.0000 1.1109
```

Output
size of the total moment = 0.692 μB/atom
symmetry = Cm, No. 8
energy relative to the elements = 0.6 eV per formula unit
N(E_F) = 3.96 states/eV/f.u.

***

Record 4
VASP calculation (PBE) on NaMnAg2Ge after structural relaxation.

The structure in extended XYZ format:
```
5
Lattice="4.9569 0.0000 0.0000 0.0000 4.9569 0.0000 0.0000 0.0000 5.1487" Properties=species:S:1:pos:R:3 pbc="T T T"
Na 0.0000 0.0000 0.0000
Mn 0.0000 0.0000 2.5743
Ag 0.0000 2.4785 2.5743
Ag 2.4785 0.0000 2.5743
Ge 2.4785 2.4785 0.0000
```

Output
size of the total moment = 0.857 μB/atom
symmetry = P4/mmm, No. 123
energy relative to the elements = 4.7 eV per formula unit
N(E_F) = 3.96 states/eV/f.u.

***

Record 5
VASP calculation (PBE) on ZnTeAs2 after structural relaxation.

The structure in extended XYZ format:
```
4
Lattice="-2.5128 2.5128 3.3230 2.5128 -2.5128 3.3230 2.5128 2.5128 -3.3230" Properties=species:S:1:pos:R:3 pbc="T T T"
Zn 0.0000 0.0000 0.0000
Te 2.5128 0.0000 1.6615
As 0.0000 0.0000 3.3230
As 0.0000 2.5128 1.6615
```

Output
polymorph energy (0 for the lowest one) = 495 meV/atom
size of the total moment = 0.000 μB/atom
symmetry = I-4m2, No. 119
N(E_F) = 2.33 states/eV/f.u.
energy relative to the elements, uncorrected = 0.381 eV/atom

***

Record 6
VASP calculation (PBE) on ZnHgOs2 after structural relaxation.

The structure in extended XYZ format:
```
4
Lattice="4.5904 -1.4194 0.0000 4.5904 1.4194 0.0000 -0.9551 0.0000 4.8795" Properties=species:S:1:pos:R:3 pbc="T T T"
Zn 0.0000 0.0000 0.0000
Hg 4.1128 0.0000 2.4397
Os 1.6223 0.0000 3.8163
Os 6.6034 0.0000 1.0632
```

Output
polymorph energy (0 for the lowest one) = 319 meV/atom
size of the total moment = 0.000 μB/atom
symmetry = C2/m, No. 12
energy relative to the elements = 2.4 eV per formula unit
N(E_F) = 3.44 states/eV/f.u.